<A>
## RbMnSi (GGA-PBE)

Data for a relaxed structure of RbMnSi.

Output
Space-group type: P-1 (2)
Size of the total moment (Bohr magnetons per cell): 4.4

Geometry as POSCAR:
```
RbMnSi
1.0
-1.328 3.836 0.344
-3.491 -1.046 -1.819
-4.534 -2.534 10.196
Si Mn Rb
2 2 2
Cartesian
-4.742 -0.833 2.758 Si
-4.611 1.089 5.963 Si
-3.472 -0.569 4.729 Mn
-5.881 0.826 3.992 Mn
-2.828 2.063 1.982 Rb
-6.526 -1.807 6.740 Rb
```

***

<B>
## RbMnSi (GGA-PBE)

Data for a relaxed structure of RbMnSi.

Output
Space-group type: P1 (1)
Size of the total moment (Bohr magnetons per cell): 0.0

Geometry as POSCAR:
```
RbMnSi
1.0
-1.380 2.406 3.061
-0.118 -1.460 3.879
10.845 5.144 2.301
Si Mn Rb
2 2 2
Cartesian
4.205 4.411 3.653 Si
6.848 3.899 2.455 Si
4.763 2.675 5.270 Mn
5.247 2.403 2.911 Mn
2.012 1.424 3.537 Rb
8.204 5.417 7.445 Rb
```

***

Among the structures above, stability is smallest for <B>.